DFT (GGA-PBE) results for a geometry-optimized Ga2TeAuSe6 structure.

Properties
The space group is C2/c. The value obtained for the energy relative to the elements, uncorrected is -0.1854 eV per atom. Its volume is 26.4 Å³/atom. As for the total magnetization: 0.00 μB/cell. The mass density comes out at 5.9 g cm⁻³.

Cell: 7.3666 8.5518 8.5518 Å, 83.20 82.93 82.93°
With the nearest neighbours (Å) after each atom.
Fractional coordinates of all 20 atoms:
Au 0.2500 0.9029 0.0971  4 Se 2.62-2.66
Au 0.7500 0.0971 0.9029  4 Se 2.62-2.66
Se 0.0467 0.2697 0.4455  2 Ga 2.42-2.47
Se 0.4533 0.5545 0.7303  2 Ga 2.42-2.47
Se 0.0984 0.6430 0.0866  1 Ga 2.44, 1 Au 2.62
Se 0.9016 0.3570 0.9134  1 Ga 2.44, 1 Au 2.62
Se 0.6475 0.8064 0.9651  1 Ga 2.55, 1 Au 2.66, 1 Te 2.67
Se 0.1475 0.9651 0.8064  1 Ga 2.55, 1 Au 2.66, 1 Te 2.67
Se 0.8525 0.0349 0.1936  1 Ga 2.55, 1 Au 2.66, 1 Te 2.67
Se 0.9533 0.7303 0.5545  2 Ga 2.42-2.47
Se 0.5467 0.4455 0.2697  2 Ga 2.42-2.47
Se 0.3525 0.1936 0.0349  1 Ga 2.55, 1 Au 2.66, 1 Te 2.67
Se 0.4016 0.9134 0.3570  1 Ga 2.44, 1 Au 2.62
Se 0.5984 0.0866 0.6430  1 Ga 2.44, 1 Au 2.62
Te 0.7500 0.7430 0.2570  4 Se 2.67-2.88
Te 0.2500 0.2570 0.7430  4 Se 2.67-2.88
Ga 0.2325 0.3986 0.2269  4 Se 2.42-2.55
Ga 0.2675 0.7731 0.6014  4 Se 2.42-2.55
Ga 0.7325 0.2269 0.3986  4 Se 2.42-2.55
Ga 0.7675 0.6014 0.7731  4 Se 2.42-2.55